An optimized crystal structure of Ba2Li2Pb. Source: Alexandria, functional PBE-GGA.

Properties
Fermi-level density of states, states/eV/f.u.: 3.19
ΔE_f, eV per atom: 0.069
ρ, g cm⁻³: 4.01
Raw total energy, eV/cell: -22.07
Crystal system: tetragonal

Cell lengths 9.7569, 9.7569, 4.3144 Å; angles 90.00, 90.00, 90.00 degrees
Closest atoms and distances in Å follow each position.
Element x y z (fractional)
Ba  0.1725  0.3275  0.0000  6 Li 3.59-3.61, 2 Pb 3.61
Ba  0.3275  0.8275  0.0000  6 Li 3.59-3.61, 2 Pb 3.61
Ba  0.6725  0.1725  0.0000  6 Li 3.59-3.61, 2 Pb 3.61
Ba  0.8275  0.6725  0.0000  6 Li 3.59-3.61, 2 Pb 3.61
Li  0.1194  0.6194  0.5000  1 Li 3.30, 6 Ba 3.59-3.61
Li  0.3806  0.1194  0.5000  1 Li 3.30, 6 Ba 3.59-3.61
Li  0.6194  0.8806  0.5000  1 Li 3.30, 6 Ba 3.59-3.61
Li  0.8806  0.3806  0.5000  1 Li 3.30, 6 Ba 3.59-3.61
Pb  0.0000  0.0000  0.0000  4 Ba 3.61
Pb  0.5000  0.5000  0.0000  4 Ba 3.61